No. 1
The following is a PBE-GGA calculation of a geometry-optimized ThGaPt structure, from OQMD via LeMat-Bulk.

```
ThGaPt
1.0
7.369 0.000 0.000
-3.685 6.382 0.000
0.000 0.000 4.111
Pt Ga Th
3 3 3
direct
0.000 0.000 0.500
0.333 0.667 0.000
0.667 0.333 0.000
0.760 0.760 0.000
0.240 0.000 0.000
0.000 0.240 0.000
0.000 0.585 0.500
0.585 0.000 0.500
0.415 0.415 0.500
```

Results
SG = P-62m, No. 189

***

No. 2
The following is a PBE-GGA calculation of a geometry-optimized ZnCuNiW structure, from OQMD via LeMat-Bulk.

```
ZnCuNiW
1.0
-2.898 2.755 1.256
-1.368 2.953 -2.641
-3.893 -0.206 -1.539
W Ni Zn Cu
1 1 1 1
direct
0.250 0.250 0.250
0.500 0.500 0.500
0.000 0.000 0.000
0.750 0.750 0.750
```

Results
SG = F-43m, No. 216
offset from the most stable computed form = 0.23 eV/f.u.
energy of formation = 0.270 eV/atom

***

No. 3
The following is a PBE-GGA calculation of a geometry-optimized LuTeNO structure, from OQMD via LeMat-Bulk.

```
LuTeNO
1.0
4.443 0.000 0.000
0.000 4.443 0.000
0.000 0.000 7.343
N Te Lu O
2 2 2 2
direct
0.750 0.750 0.431
0.250 0.250 0.569
0.750 0.750 0.916
0.250 0.250 0.084
0.750 0.250 0.500
0.250 0.750 0.500
0.750 0.250 0.000
0.250 0.750 0.000
```

Results
SG = P4/nmm, No. 129
offset from the most stable computed form = 2.07 eV/f.u.

***

No. 4
The following is a PBE-GGA calculation of a geometry-optimized Cu4Ag structure, from OQMD via LeMat-Bulk.

```
Cu4Ag
1.0
-4.134 -1.349 -4.802
-1.096 -1.951 1.492
-3.814 5.244 4.056
Cu Ag
8 2
direct
0.858 0.250 0.051
0.778 0.750 0.756
0.142 0.750 0.949
0.222 0.250 0.244
0.946 0.750 0.356
0.341 0.750 0.523
0.659 0.250 0.477
0.054 0.250 0.644
0.547 0.750 0.168
0.453 0.250 0.832
```

Results
SG = P2_1/m, No. 11
offset from the most stable computed form = 0.10 eV/f.u.
energy of formation = 0.064 eV/atom

***

No. 5
The following is a PBE-GGA calculation of a geometry-optimized NdTlIn structure, from OQMD via LeMat-Bulk.

```
NdTlIn
1.0
0.000 3.604 3.604
3.604 0.000 3.604
3.604 3.604 0.000
In Nd Tl
1 1 1
direct
0.250 0.250 0.250
0.750 0.750 0.750
0.000 0.000 0.000
```

Results
SG = F-43m, No. 216

***

No. 6
The following is a PBE-GGA calculation of a geometry-optimized BPtO structure, from OQMD via LeMat-Bulk.

```
BPtO
1.0
4.472 0.000 0.000
0.000 3.068 0.000
-0.366 0.000 4.906
Pt B O
2 2 2
direct
0.000 0.500 0.000
0.500 0.000 0.500
0.168 0.500 0.587
0.832 0.500 0.413
0.730 0.000 0.874
0.270 0.000 0.126
```

Results
SG = P2/m, No. 10
offset from the most stable computed form = 2.35 eV/f.u.

***

no.,uncorrected energy (eV/atom)
1,-6.57
2,-5.61
3,-5.83
4,-3.47
5,-3.47
6,-5.81